Compound: TmGaPb
Source: the Alexandria database
Functional: PBE
Structure: relaxed

Calculated values
As for the energy of formation from the pure elements: -82 kJ/mol of formula units. The volume comes out at 25.38 A^3/atom. The total DFT energy (no corrections) is -4.02 eV/atom. The density of states at the Fermi level comes out at 0.63 states/eV/cell.

Cell: 4.4583 4.4407 4.4407 Å, 120.00 90.00 90.00°
With the nearest neighbours (Å) after each atom.
Atoms (fractional coordinates):
1 Pb 0.7169 0.6667 0.3333  3 Ga 2.84
2 Tm 0.2921 0.3333 0.6667  3 Ga 2.89, 3 Pb 3.19
3 Ga 0.9911 0.0000 0.0000  3 Pb 2.84, 3 Tm 2.89